Entry 1:
Here is an optimized crystal structure of CeEr3Co2 from Alexandria. Energies are from PBE.

Output
M_tot   0.000 μB/atom
Relative energy among the computed polymorphs   0 meV/atom
E_form   -1.063 eV/f.u.

CIF file:
```
data_CeEr3Co2
_chemical_formula_sum 'Ce2 Er6 Co4'
_cell_length_a 3.6773
_cell_length_b 8.4079
_cell_length_c 9.7224
_cell_angle_alpha 78.47
_cell_angle_beta 79.10
_cell_angle_gamma 77.37
_space_group_name_H-M_alt 'P 1'
_space_group_IT_number 1
loop_
_space_group_symop_operation_xyz
'x,y,z'
loop_
_atom_site_label
_atom_site_type_symbol
_atom_site_fract_x
_atom_site_fract_y
_atom_site_fract_z
Er1 Er 0.5827 0.2777 0.5568
Co1 Co 0.2335 0.0825 0.4506
Er2 Er 0.8461 0.0596 0.2482
Er3 Er 0.4196 0.2188 0.9420
Co2 Co 0.7609 0.4060 0.0721
Ce1 Ce 0.1646 0.4328 0.2379
Er4 Er 0.1539 0.9404 0.7518
Er5 Er 0.5804 0.7812 0.0580
Ce2 Ce 0.8354 0.5672 0.7621
Co3 Co 0.2391 0.5940 0.9279
Co4 Co 0.7665 0.9175 0.5494
Er6 Er 0.4173 0.7223 0.4432
```

***

Entry 2:
Here is an optimized crystal structure of La3MgF from Alexandria. Energies are from PBE.

Output
M_tot   0.000 μB/atom
Formation energy (no corrections)   -1.014 eV/atom
Relative energy among the computed polymorphs   0 meV/atom

CIF file:
```
data_La3MgF
_chemical_formula_sum 'La3 Mg1 F1'
_cell_length_a 5.1950
_cell_length_b 5.1950
_cell_length_c 5.1950
_cell_angle_alpha 90.00
_cell_angle_beta 90.00
_cell_angle_gamma 90.00
_space_group_name_H-M_alt 'P 1'
_space_group_IT_number 1
loop_
_space_group_symop_operation_xyz
'x,y,z'
loop_
_atom_site_label
_atom_site_type_symbol
_atom_site_fract_x
_atom_site_fract_y
_atom_site_fract_z
F1 F 0.0000 0.0000 0.0000
La1 La 0.5000 0.0000 0.0000
La2 La 0.0000 0.5000 0.0000
La3 La 0.0000 0.0000 0.5000
Mg1 Mg 0.5000 0.5000 0.5000
```

***

Table of VASP energy (eV/cell), in record order: -69.80; -23.32